First-principles (PBE-GGA) data for a relaxed structure of Be2Ir, as listed in Alexandria via LeMat-Bulk.

Calculated values
Its formation energy is -16 kJ/mol of formula units. As for the offset from the most stable computed form: 12.10 kcal/mol of atoms. Its density of states at the Fermi level is 2.0 states/eV/cell. Its space group is Cmcm, No. 63. For the calculated total energy, the calculation gives -5.494 eV per atom.

Cell: 6.9215 6.9215 3.6619 Å, 90.00 90.00 157.87°
With the nearest neighbours (Å) after each atom.
Sites, in units of the cell vectors:
Be (0.0548, 0.9452, 0.2500)  8 Be 2.31-2.38, 2 Ir 2.32
Ir (0.6948, 0.3052, 0.2500)  4 Be 2.31-2.32
Ir (0.3052, 0.6948, 0.7500)  4 Be 2.31-2.32
Be (0.9452, 0.0548, 0.7500)  8 Be 2.31-2.38, 2 Ir 2.32
Be (0.5907, 0.4093, 0.7500)  2 Ir 2.31, 6 Be 2.31-2.38
Be (0.4093, 0.5907, 0.2500)  2 Ir 2.31, 6 Be 2.31-2.38